(1)
Density functional theory data (PBE) for an optimized crystal structure of YMgRu2N.

The structure belongs to space group P4/mmm (No. 123); the cell edges are 4.768, 4.768 and 3.814 Å and the angles 90.00°, 90.00° and 90.00°. Symmetry generates all atoms from Y at (0.000, 0.000, 0.000), Mg at (0.500, 0.500, 0.500), Ru at (0.000, 0.500, 0.500) and N at (0.500, 0.500, 0.000).

The calculation puts the uncorrected formation energy at 101.4 kJ/mol of atoms. Its density of states at the Fermi level is 3.17 states/eV/cell.

***

(2)
Density functional theory data (PBE) for an optimized crystal structure of MgSN2.

The structure belongs to space group R-3m (No. 166, hexagonal axes); the cell edges are 3.2526, 3.2526 and 16.3411 Å and the angles 90.00°, 90.00° and 120.00°. Symmetry generates all atoms from Mg at (0.0000, 0.0000, 0.0000), S at (0.0000, 0.0000, 0.5000) and N at (0.0000, 0.0000, 0.4028).

The calculation puts the uncorrected formation energy at 31.4 kJ/mol of atoms. The value obtained for the relative energy among the computed polymorphs is 0 meV per atom. Its density of states at the Fermi level is 1.37 states/eV/cell.

***

(3)
Density functional theory data (PBE) for an optimized crystal structure of Mg4SN2.

The structure belongs to space group Cmcm (No. 63); the cell edges are 3.290, 10.853 and 10.641 Å and the angles 90.00°, 90.00° and 90.00°. Symmetry generates all atoms from Mg at (0.000, 0.000, 0.000), Mg at (0.000, 0.259, 0.100), Mg at (0.000, 0.439, 0.750), S at (0.000, 0.113, 0.750) and N at (0.000, 0.367, 0.569).

The calculation puts the uncorrected formation energy at -83.2 kJ/mol of atoms.

***

(4)
Density functional theory data (PBE) for an optimized crystal structure of MgSN3.

The structure belongs to space group Pm-3m (No. 221); the cell edges are 3.519, 3.519 and 3.519 Å and the angles 90.00°, 90.00° and 90.00°. Symmetry generates all atoms from Mg at (0.000, 0.000, 0.000), S at (0.500, 0.500, 0.500) and N at (0.000, 0.500, 0.500).

The calculation puts the uncorrected formation energy at 119.7 kJ/mol of atoms. Its density of states at the Fermi level is 1.97 states/eV/cell.

***

(5)
Density functional theory data (PBE) for an optimized crystal structure of MgSN3.

The structure belongs to space group Pm-3m (No. 221); the cell edges are 4.042, 4.042 and 4.042 Å and the angles 90.00°, 90.00° and 90.00°. Symmetry generates all atoms from Mg at (0.000, 0.000, 0.000), S at (0.500, 0.500, 0.500) and N at (0.000, 0.000, 0.500).

The calculation puts the uncorrected formation energy at 224.7 kJ/mol of atoms. Its density of states at the Fermi level is 4.15 states/eV/cell.

***

(6)
Density functional theory data (PBE) for an optimized crystal structure of MgS3N.

The structure belongs to space group Pm-3m (No. 221); the cell edges are 4.170, 4.170 and 4.170 Å and the angles 90.00°, 90.00° and 90.00°. Symmetry generates all atoms from Mg at (0.000, 0.000, 0.000), S at (0.000, 0.500, 0.500) and N at (0.500, 0.500, 0.500).

The calculation puts the uncorrected formation energy at 59.5 kJ/mol of atoms. Its density of states at the Fermi level is 2.66 states/eV/cell.

***

(7)
Density functional theory data (PBE) for an optimized crystal structure of MgSN2.

The structure belongs to space group I-42d (No. 122); the cell edges are 4.473, 4.473 and 9.946 Å and the angles 90.00°, 90.00° and 90.00°. Symmetry generates all atoms from Mg at (0.000, 0.000, 0.000), S at (0.000, 0.000, 0.500) and N at (0.205, 0.250, 0.625).

The calculation puts the uncorrected formation energy at 56.9 kJ/mol of atoms. The value obtained for the relative energy among the computed polymorphs is 264 meV per atom. Its density of states at the Fermi level is 2.14 states/eV/cell.

***

(8)
Density functional theory data (PBE) for an optimized crystal structure of MgSN2.

The structure belongs to space group Fm-3m (No. 225); the cell edges are 5.501, 5.501 and 5.501 Å and the angles 90.00°, 90.00° and 90.00°. Symmetry generates all atoms from Mg at (0.000, 0.000, 0.000), S at (0.000, 0.000, 0.500) and N at (0.250, 0.250, 0.250).

The calculation puts the uncorrected formation energy at 132.0 kJ/mol of atoms. The value obtained for the relative energy among the computed polymorphs is 1043 meV per atom. Its density of states at the Fermi level is 7.62 states/eV/cell.

***

Number 1: final energy -29.7 eV per cell. Number 2: final energy -63.2 eV per cell. Number 3: final energy -132.8 eV per cell. Number 4: final energy -24.5 eV per cell. Number 5: final energy -19.1 eV per cell. Number 6: final energy -19.2 eV per cell. Number 7: final energy -80.1 eV per cell. Number 8: final energy -67.6 eV per cell.